VASP calculation (GGA-PBEsol) on crystalline Cr2InCl at its relaxed geometry.

Calculated values
ρ	5.736	Mg/m³
ΔE_f (raw)	595	meV/atom
excess energy over the best structure of this formula in the dataset	432.7	meV per atom
V	18.40	Å³ per atom

Unit cell a=3.0690 b=4.9147 c=4.9147 alpha=96.82 beta=89.88 gamma=89.88
Last column: nearest neighbours and their distance in Å.
Atoms (fractional coordinates):
Cr (0.0000, 0.5000, 0.0000)  4 Cl 2.89-2.90, 4 In 2.89-2.90, 2 Cr 3.07
Cr (0.0000, 0.0000, 0.5000)  4 In 2.89-2.90, 4 Cl 2.89-2.90, 2 Cr 3.07
In (0.5000, 0.5000, 0.5000)  8 Cr 2.89-2.90, 2 In 3.07
Cl (0.5000, 0.0000, 0.0000)  8 Cr 2.89-2.90, 2 Cl 3.07


VASP calculation (GGA-PBEsol) on crystalline CrInP2Cl at its relaxed geometry.

Calculated values
ρ	4.486	Mg/m³
ΔE_f (raw)	63	meV/atom
V	19.56	Å³ per atom

Unit cell a=4.3865 b=4.3865 c=5.0827 alpha=90.00 beta=90.00 gamma=90.00
Last column: nearest neighbours and their distance in Å.
Atoms (fractional coordinates):
P (0.5000, 0.0000, 0.0000)  2 Cr 2.19
P (0.0000, 0.5000, 0.0000)  2 Cr 2.19
In (0.5000, 0.5000, 0.5000)  4 Cl 3.10, 8 P 3.36
Cr (0.0000, 0.0000, 0.0000)  4 P 2.19
Cl (0.0000, 0.0000, 0.5000)  2 Cr 2.54


VASP calculation (GGA-PBEsol) on crystalline CrInS2Cl at its relaxed geometry.

Calculated values
ρ	4.448	Mg/m³
ΔE_f (raw)	-344	meV/atom
V	19.89	Å³ per atom

Unit cell a=4.5694 b=4.5694 c=4.7629 alpha=90.00 beta=90.00 gamma=90.00
Last column: nearest neighbours and their distance in Å.
Atoms (fractional coordinates):
S (0.0000, 0.5000, 0.0000)  2 Cr 2.28
S (0.5000, 0.0000, 0.0000)  2 Cr 2.28
Cl (0.0000, 0.0000, 0.5000)  2 Cr 2.38
Cr (0.0000, 0.0000, 0.0000)  4 S 2.28, 2 Cl 2.38
In (0.5000, 0.5000, 0.5000)  4 Cl 3.23, 8 S 3.30


VASP calculation (GGA-PBEsol) on crystalline CrInSeCl2 at its relaxed geometry.

Calculated values
ρ	3.992	Mg/m³
ΔE_f (raw)	27	meV/atom
V	26.34	Å³ per atom

Unit cell a=4.9555 b=4.9555 c=5.3639 alpha=90.00 beta=90.00 gamma=90.00
Last column: nearest neighbours and their distance in Å.
Atoms (fractional coordinates):
Se (0.0000, 0.0000, 0.5000)  2 In 2.68
Cl (0.5000, 0.0000, 0.0000)  2 In 2.48
Cl (0.0000, 0.5000, 0.0000)  2 In 2.48
In (0.0000, 0.0000, 0.0000)  4 Cl 2.48, 2 Se 2.68
Cr (0.5000, 0.5000, 0.5000)  4 Se 3.50, 8 Cl 3.65


VASP calculation (GGA-PBEsol) on crystalline Cr2InTeCl at its relaxed geometry.

Calculated values
ρ	3.663	Mg/m³
ΔE_f (raw)	715	meV/atom
V	34.62	Å³ per atom

Unit cell a=5.1376 b=5.1376 c=6.5581 alpha=90.00 beta=90.00 gamma=90.00
Last column: nearest neighbours and their distance in Å.
Atoms (fractional coordinates):
Te (0.0000, 0.0000, 0.0000)  4 Cr 2.57
Cr (0.5000, 0.0000, 0.0000)  2 Te 2.57
Cr (0.0000, 0.5000, 0.0000)  2 Te 2.57
In (0.0000, 0.0000, 0.5000)  2 Te 3.28, 4 Cl 3.63
Cl (0.5000, 0.5000, 0.5000)  4 In 3.63


VASP calculation (GGA-PBEsol) on crystalline CrIr2Cl at its relaxed geometry.

Calculated values
ρ	13.791	Mg/m³
ΔE_f (raw)	905	meV/atom
excess energy over the best structure of this formula in the dataset	256.7	meV per atom
V	14.20	Å³ per atom

Unit cell a=4.3152 b=4.3152 c=4.3152 alpha=60.00 beta=60.00 gamma=60.00
Last column: nearest neighbours and their distance in Å.
Atoms (fractional coordinates):
Cl (0.0000, 0.0000, 0.0000)  8 Ir 2.64
Ir (0.2500, 0.2500, 0.2500)  4 Cl 2.64, 4 Cr 2.64
Ir (0.7500, 0.7500, 0.7500)  4 Cr 2.64, 4 Cl 2.64
Cr (0.5000, 0.5000, 0.5000)  8 Ir 2.64


VASP calculation (GGA-PBEsol) on crystalline Cr3IrCl at its relaxed geometry.

Calculated values
ρ	5.985	Mg/m³
ΔE_f (raw)	1208	meV/atom
V	21.29	Å³ per atom

Unit cell a=4.7393 b=4.7393 c=4.7393 alpha=90.00 beta=90.00 gamma=90.00
Last column: nearest neighbours and their distance in Å.
Atoms (fractional coordinates):
Ir (0.0000, 0.0000, 0.0000)  6 Cr 2.37
Cr (0.0000, 0.5000, 0.0000)  2 Ir 2.37
Cr (0.0000, 0.0000, 0.5000)  2 Ir 2.37
Cr (0.5000, 0.0000, 0.0000)  2 Ir 2.37
Cl (0.5000, 0.5000, 0.5000)  12 Cr 3.35


VASP calculation (GGA-PBEsol) on crystalline CrIr2Cl at its relaxed geometry.

Calculated values
ρ	13.642	Mg/m³
ΔE_f (raw)	649	meV/atom
excess energy over the best structure of this formula in the dataset	0.0	meV per atom
V	14.36	Å³ per atom

Unit cell a=2.7444 b=4.5436 c=4.6062 alpha=90.00 beta=90.00 gamma=90.00
Last column: nearest neighbours and their distance in Å.
Atoms (fractional coordinates):
Cl (0.5000, 0.5000, 0.0000)  4 Ir 2.65, 4 Cr 2.68, 2 Cl 2.74
Ir (0.5000, 0.0000, 0.5000)  4 Cr 2.65, 6 Ir 2.68-2.74
Ir (0.0000, 0.0000, 0.0000)  4 Cl 2.65, 6 Ir 2.68-2.74
Cr (0.0000, 0.5000, 0.5000)  4 Ir 2.65, 4 Cl 2.68, 2 Cr 2.74